A relaxed Pm2NdTi crystal, computed with GGA-PBE.

Cell lengths 3.418, 3.418, 12.244 Å; angles 81.98, 81.98, 60.00 degrees
Each line ends with the local moment (μB).
Fractional positions:
1 Ti 0.000 0.000 0.000  1.29
2 Nd 0.500 0.500 0.500  0.01
3 Pm 0.082 0.082 0.754  0.07
4 Pm 0.918 0.918 0.246  0.07

Properties
energy of formation from the pure elements = 0.459 eV per atom